CuGe3Rh: optimized geometry, PBE.

Computed properties:
formation energy from the elements: 464.7 meV per atom
total DFT energy (no corrections): -4.595 eV/atom
polymorph energy (0 for the lowest one): 0.0 meV/atom
V: 108.8 Å³/cell

Cell: 4.7735 4.7735 4.7735 Å, 90.00 90.00 90.00°
Element x y z (fractional)
Cu (0.5000, 0.5000, 0.5000)
Ge (0.0000, 0.0000, 0.5000)
Ge (0.0000, 0.5000, 0.0000)
Ge (0.5000, 0.0000, 0.0000)
Rh (0.0000, 0.0000, 0.0000)

***

Cu2GeRh: optimized geometry, PBE.

Computed properties:
formation energy from the elements: 89.0 meV per atom
total DFT energy (no corrections): -4.951 eV/atom
V: 115.9 Å³/cell

Cell: 6.8815 6.8815 5.4468 Å, 50.82 50.82 90.00°
Element x y z (fractional)
Cu (0.1390, 0.6250, 0.2500)
Cu (0.3750, 0.3890, 0.7500)
Cu (0.6110, 0.1250, 0.2500)
Cu (0.8750, 0.8610, 0.7500)
Ge (0.2500, 0.7500, 0.5000)
Ge (0.5000, 0.5000, 0.0000)
Rh (0.0000, 0.0000, 0.0000)
Rh (0.7500, 0.2500, 0.5000)

***

Cu2GeRh2: optimized geometry, PBE.

Computed properties:
formation energy from the elements: -75.9 meV per atom
total DFT energy (no corrections): -5.578 eV/atom
polymorph energy (0 for the lowest one): 0.0 meV/atom
V: 149.6 Å³/cell

Cell: 6.2084 6.2084 3.8821 Å, 90.00 90.00 90.00°
Element x y z (fractional)
Cu (0.8493, 0.3493, 0.5000)
Cu (0.6507, 0.8493, 0.5000)
Cu (0.1507, 0.6507, 0.5000)
Cu (0.3493, 0.1507, 0.5000)
Rh (0.8518, 0.6482, 0.0000)
Rh (0.1482, 0.3518, 0.0000)
Rh (0.3518, 0.8518, 0.0000)
Rh (0.6482, 0.1482, 0.0000)
Ge (0.0000, 0.0000, 0.0000)
Ge (0.5000, 0.5000, 0.0000)

***

Cu3GeRh: optimized geometry, PBE.

Computed properties:
formation energy from the elements: 1034.5 meV per atom
total DFT energy (no corrections): -3.817 eV/atom
polymorph energy (0 for the lowest one): 238.1 meV/atom
V: 98.4 Å³/cell

Cell: 4.6162 4.6162 4.6162 Å, 90.00 90.00 90.00°
Element x y z (fractional)
Ge (0.5000, 0.5000, 0.5000)
Cu (0.0000, 0.5000, 0.0000)
Cu (0.0000, 0.0000, 0.5000)
Cu (0.5000, 0.0000, 0.0000)
Rh (0.0000, 0.0000, 0.0000)

***

CuGeRuRh: optimized geometry, PBE.

Computed properties:
formation energy from the elements: -192.6 meV per atom
total DFT energy (no corrections): -6.528 eV/atom
V: 54.0 Å³/cell

Cell: 4.2414 4.2414 4.2414 Å, 60.00 60.00 60.00°
Element x y z (fractional)
Cu (0.5000, 0.5000, 0.5000)
Ge (0.0000, 0.0000, 0.0000)
Rh (0.2500, 0.2500, 0.2500)
Ru (0.7500, 0.7500, 0.7500)

***

Sc2CuGe2Rh5: optimized geometry, PBE.

Computed properties:
formation energy from the elements: -663.3 meV per atom
total DFT energy (no corrections): -6.938 eV/atom
V: 314.8 Å³/cell

Cell: 3.4972 9.4879 9.4879 Å, 90.00 90.00 90.00°
Element x y z (fractional)
Rh (0.5000, 0.7993, 0.9333)
Rh (0.5000, 0.4333, 0.2993)
Rh (0.5000, 0.0667, 0.7993)
Rh (0.5000, 0.9333, 0.2007)
Rh (0.5000, 0.5000, 0.0000)
Rh (0.5000, 0.2993, 0.5667)
Rh (0.5000, 0.5667, 0.7007)
Rh (0.5000, 0.0000, 0.5000)
Rh (0.5000, 0.2007, 0.0667)
Rh (0.5000, 0.7007, 0.4333)
Cu (0.0000, 0.0000, 0.0000)
Cu (0.0000, 0.5000, 0.5000)
Ge (0.0000, 0.3692, 0.1308)
Ge (0.0000, 0.8692, 0.3692)
Ge (0.0000, 0.1308, 0.6308)
Ge (0.0000, 0.6308, 0.8692)
Sc (0.0000, 0.3298, 0.8298)
Sc (0.0000, 0.8298, 0.6702)
Sc (0.0000, 0.6702, 0.1702)
Sc (0.0000, 0.1702, 0.3298)

***

Sm2CuGe4Rh3: optimized geometry, PBE.

Computed properties:
formation energy from the elements: -746.9 meV per atom
total DFT energy (no corrections): -6.153 eV/atom
V: 183.1 Å³/cell

Cell: 4.2776 4.2776 10.0047 Å, 90.00 90.00 90.00°
Element x y z (fractional)
Rh (0.0000, 0.0000, 0.5000)
Rh (0.0000, 0.5000, 0.1266)
Rh (0.5000, 0.0000, 0.8734)
Sm (0.5000, 0.0000, 0.2458)
Sm (0.0000, 0.5000, 0.7542)
Ge (0.0000, 0.0000, 0.0000)
Ge (0.5000, 0.0000, 0.6298)
Ge (0.5000, 0.5000, 0.0000)
Ge (0.0000, 0.5000, 0.3702)
Cu (0.5000, 0.5000, 0.5000)

***

SrCu2GeRh2: optimized geometry, PBE.

Computed properties:
formation energy from the elements: -5.3 meV per atom
total DFT energy (no corrections): -4.871 eV/atom
V: 126.5 Å³/cell

Cell: 4.6254 4.6254 5.9131 Å, 90.00 90.00 90.00°
Element x y z (fractional)
Ge (0.0000, 0.0000, 0.0000)
Rh (0.0000, 0.5000, 0.0000)
Rh (0.5000, 0.0000, 0.0000)
Cu (0.5000, 0.5000, 0.7794)
Cu (0.5000, 0.5000, 0.2206)
Sr (0.0000, 0.0000, 0.5000)

***

Tb2Cu3Ge4Rh: optimized geometry, PBE.

Computed properties:
formation energy from the elements: -554.3 meV per atom
total DFT energy (no corrections): -5.291 eV/atom
V: 174.0 Å³/cell

Cell: 4.1143 4.1143 10.2773 Å, 90.00 90.00 90.00°
Element x y z (fractional)
Cu (0.0000, 0.0000, 0.5000)
Cu (0.5000, 0.0000, 0.8652)
Cu (0.0000, 0.5000, 0.1348)
Ge (0.0000, 0.5000, 0.3657)
Ge (0.5000, 0.0000, 0.6343)
Ge (0.0000, 0.0000, 0.0000)
Ge (0.5000, 0.5000, 0.0000)
Tb (0.5000, 0.0000, 0.2521)
Tb (0.0000, 0.5000, 0.7479)
Rh (0.5000, 0.5000, 0.5000)

***

TbCuGe2Rh: optimized geometry, PBE.

Computed properties:
formation energy from the elements: -650.8 meV per atom
total DFT energy (no corrections): -5.713 eV/atom
V: 88.2 Å³/cell

Cell: 4.1434 4.1434 5.9126 Å, 110.51 110.51 90.00°
Element x y z (fractional)
Tb (0.0000, 0.0000, 0.0000)
Ge (0.3791, 0.3791, 0.7581)
Ge (0.6209, 0.6209, 0.2419)
Rh (0.7500, 0.2500, 0.5000)
Cu (0.2500, 0.7500, 0.5000)

***

ThCuGe2Rh5: optimized geometry, PBE.

Computed properties:
formation energy from the elements: -309.8 meV per atom
total DFT energy (no corrections): -6.700 eV/atom
V: 155.6 Å³/cell

Cell: 4.5846 4.5846 7.4045 Å, 90.00 90.00 90.00°
Element x y z (fractional)
Rh (0.5000, 0.5000, 0.5000)
Rh (0.0000, 0.5000, 0.7676)
Rh (0.5000, 0.0000, 0.2324)
Rh (0.0000, 0.5000, 0.2324)
Rh (0.5000, 0.0000, 0.7676)
Ge (0.5000, 0.5000, 0.1654)
Ge (0.5000, 0.5000, 0.8346)
Th (0.0000, 0.0000, 0.5000)
Cu (0.0000, 0.0000, 0.0000)

***

ThCuGe2Rh: optimized geometry, PBE.

Computed properties:
formation energy from the elements: -655.8 meV per atom
total DFT energy (no corrections): -6.276 eV/atom
V: 91.6 Å³/cell

Cell: 4.2164 4.2164 5.9531 Å, 110.74 110.74 90.00°
Element x y z (fractional)
Ge (0.6227, 0.6227, 0.2453)
Ge (0.3773, 0.3773, 0.7547)
Th (0.0000, 0.0000, 0.0000)
Rh (0.7500, 0.2500, 0.5000)
Cu (0.2500, 0.7500, 0.5000)

***

Th2CuGe3Rh4: optimized geometry, PBE.

Computed properties:
formation energy from the elements: -802.8 meV per atom
total DFT energy (no corrections): -7.022 eV/atom
V: 183.5 Å³/cell

Cell: 4.1890 4.1890 10.4560 Å, 90.00 90.00 90.00°
Element x y z (fractional)
Ge (0.0000, 0.0000, 0.5000)
Ge (0.0000, 0.5000, 0.1288)
Ge (0.5000, 0.0000, 0.8712)
Th (0.5000, 0.0000, 0.2609)
Th (0.0000, 0.5000, 0.7391)
Rh (0.0000, 0.0000, 0.0000)
Rh (0.5000, 0.5000, 0.0000)
Rh (0.5000, 0.0000, 0.6380)
Rh (0.0000, 0.5000, 0.3620)
Cu (0.5000, 0.5000, 0.5000)

***

Th2Cu3Ge4Rh: optimized geometry, PBE.

Computed properties:
formation energy from the elements: -566.5 meV per atom
total DFT energy (no corrections): -5.861 eV/atom
V: 181.3 Å³/cell

Cell: 4.2715 4.2715 9.9377 Å, 90.00 90.00 90.00°
Element x y z (fractional)
Ge (0.5000, 0.5000, 0.0000)
Ge (0.5000, 0.0000, 0.6306)
Ge (0.0000, 0.0000, 0.0000)
Ge (0.0000, 0.5000, 0.3694)
Rh (0.5000, 0.5000, 0.5000)
Th (0.5000, 0.0000, 0.2535)
Th (0.0000, 0.5000, 0.7465)
Cu (0.5000, 0.0000, 0.8723)
Cu (0.0000, 0.0000, 0.5000)
Cu (0.0000, 0.5000, 0.1277)

***

Th4CuGe3Rh12: optimized geometry, PBE.

Computed properties:
formation energy from the elements: -360.8 meV per atom
total DFT energy (no corrections): -7.153 eV/atom
V: 387.3 Å³/cell

Cell: 7.9534 7.9534 7.9534 Å, 109.47 109.47 109.47°
Element x y z (fractional)
Ge (0.0000, 0.5000, 0.5000)
Ge (0.5000, 0.0000, 0.5000)
Ge (0.5000, 0.5000, 0.0000)
Rh (0.0000, 0.2525, 0.2525)
Rh (0.5000, 0.2500, 0.7500)
Rh (0.7500, 0.5000, 0.2500)
Rh (0.2500, 0.5000, 0.7500)
Rh (0.7500, 0.2500, 0.5000)
Rh (0.7475, 0.7475, 0.0000)
Rh (0.7475, 0.0000, 0.7475)
Rh (0.0000, 0.7475, 0.7475)
Rh (0.2500, 0.7500, 0.5000)
Rh (0.5000, 0.7500, 0.2500)
Rh (0.2525, 0.0000, 0.2525)
Rh (0.2525, 0.2525, 0.0000)
Th (0.0000, 0.5000, 0.0000)
Th (0.0000, 0.0000, 0.5000)
Th (0.5000, 0.0000, 0.0000)
Th (0.5000, 0.5000, 0.5000)
Cu (0.0000, 0.0000, 0.0000)

***

Tm2CuGe2Rh5: optimized geometry, PBE.

Computed properties:
formation energy from the elements: -701.4 meV per atom
total DFT energy (no corrections): -6.605 eV/atom
V: 329.5 Å³/cell

Cell: 3.5180 9.6777 9.6777 Å, 90.00 90.00 90.00°
Element x y z (fractional)
Ge (0.0000, 0.6285, 0.8715)
Ge (0.0000, 0.8715, 0.3715)
Ge (0.0000, 0.1285, 0.6285)
Ge (0.0000, 0.3715, 0.1285)
Cu (0.0000, 0.5000, 0.5000)
Cu (0.0000, 0.0000, 0.0000)
Rh (0.5000, 0.7970, 0.9343)
Rh (0.5000, 0.7030, 0.4343)
Rh (0.5000, 0.2970, 0.5657)
Rh (0.5000, 0.2030, 0.0657)
Rh (0.5000, 0.9343, 0.2030)
Rh (0.5000, 0.0657, 0.7970)
Rh (0.5000, 0.0000, 0.5000)
Rh (0.5000, 0.4343, 0.2970)
Rh (0.5000, 0.5000, 0.0000)
Rh (0.5000, 0.5657, 0.7030)
Tm (0.0000, 0.6720, 0.1720)
Tm (0.0000, 0.8280, 0.6720)
Tm (0.0000, 0.1720, 0.3280)
Tm (0.0000, 0.3280, 0.8280)

***

TmCuGe2Rh: optimized geometry, PBE.

Computed properties:
formation energy from the elements: -611.5 meV per atom
total DFT energy (no corrections): -5.642 eV/atom
V: 86.5 Å³/cell

Cell: 4.1076 4.1076 5.8912 Å, 110.40 110.40 90.00°
Element x y z (fractional)
Tm (0.0000, 0.0000, 0.0000)
Rh (0.2500, 0.7500, 0.5000)
Ge (0.3805, 0.3805, 0.7609)
Ge (0.6195, 0.6195, 0.2391)
Cu (0.7500, 0.2500, 0.5000)

***

Tm2Cu2GeRh5: optimized geometry, PBE.

Computed properties:
formation energy from the elements: -526.2 meV per atom
total DFT energy (no corrections): -6.377 eV/atom
V: 320.6 Å³/cell

Cell: 3.7104 9.2959 9.2959 Å, 90.00 90.00 90.00°
Element x y z (fractional)
Rh (0.5000, 0.5679, 0.7001)
Rh (0.5000, 0.7999, 0.9321)
Rh (0.5000, 0.5000, 0.0000)
Rh (0.5000, 0.0000, 0.5000)
Rh (0.5000, 0.7001, 0.4321)
Rh (0.5000, 0.0679, 0.7999)
Rh (0.5000, 0.9321, 0.2001)
Rh (0.5000, 0.2999, 0.5679)
Rh (0.5000, 0.2001, 0.0679)
Rh (0.5000, 0.4321, 0.2999)
Tm (0.0000, 0.8275, 0.6725)
Tm (0.0000, 0.1725, 0.3275)
Tm (0.0000, 0.6725, 0.1725)
Tm (0.0000, 0.3275, 0.8275)
Cu (0.0000, 0.8742, 0.3742)
Cu (0.0000, 0.6258, 0.8742)
Cu (0.0000, 0.3742, 0.1258)
Cu (0.0000, 0.1258, 0.6258)
Ge (0.0000, 0.0000, 0.0000)
Ge (0.0000, 0.5000, 0.5000)

***

CuGeRhW2: optimized geometry, PBE.

Computed properties:
formation energy from the elements: 1685.8 meV per atom
total DFT energy (no corrections): -6.708 eV/atom
V: 102.6 Å³/cell

Cell: 4.7094 4.6280 4.7094 Å, 90.00 90.00 90.00°
Element x y z (fractional)
Cu (0.0000, 0.5000, 0.0000)
W (0.0000, 0.0000, 0.5000)
W (0.5000, 0.0000, 0.0000)
Ge (0.5000, 0.5000, 0.5000)
Rh (0.0000, 0.0000, 0.0000)

***

Y2Cu3Ge4Rh: optimized geometry, PBE.

Computed properties:
formation energy from the elements: -550.2 meV per atom
total DFT energy (no corrections): -5.654 eV/atom
V: 173.9 Å³/cell

Cell: 4.1104 4.1104 10.2918 Å, 90.00 90.00 90.00°
Element x y z (fractional)
Cu (0.5000, 0.0000, 0.8649)
Cu (0.0000, 0.0000, 0.5000)
Cu (0.0000, 0.5000, 0.1351)
Y (0.5000, 0.0000, 0.2524)
Y (0.0000, 0.5000, 0.7476)
Ge (0.0000, 0.5000, 0.3657)
Ge (0.5000, 0.5000, 0.0000)
Ge (0.5000, 0.0000, 0.6343)
Ge (0.0000, 0.0000, 0.0000)
Rh (0.5000, 0.5000, 0.5000)

***

Y2CuGe2Rh5: optimized geometry, PBE.

Computed properties:
formation energy from the elements: -667.1 meV per atom
total DFT energy (no corrections): -6.969 eV/atom
V: 336.1 Å³/cell

Cell: 3.5303 9.7573 9.7573 Å, 90.00 90.00 90.00°
Element x y z (fractional)
Cu (0.0000, 0.5000, 0.5000)
Cu (0.0000, 0.0000, 0.0000)
Rh (0.5000, 0.9350, 0.2034)
Rh (0.5000, 0.0650, 0.7966)
Rh (0.5000, 0.5000, 0.0000)
Rh (0.5000, 0.2034, 0.0650)
Rh (0.5000, 0.7966, 0.9350)
Rh (0.5000, 0.5650, 0.7034)
Rh (0.5000, 0.0000, 0.5000)
Rh (0.5000, 0.4350, 0.2966)
Rh (0.5000, 0.2966, 0.5650)
Rh (0.5000, 0.7034, 0.4350)
Y (0.0000, 0.1726, 0.3274)
Y (0.0000, 0.8274, 0.6726)
Y (0.0000, 0.6726, 0.1726)
Y (0.0000, 0.3274, 0.8274)
Ge (0.0000, 0.3723, 0.1277)
Ge (0.0000, 0.6277, 0.8723)
Ge (0.0000, 0.8723, 0.3723)
Ge (0.0000, 0.1277, 0.6277)

***

ZnCuGeRh: optimized geometry, PBE.

Computed properties:
formation energy from the elements: -174.3 meV per atom
total DFT energy (no corrections): -4.509 eV/atom
V: 56.0 Å³/cell

Cell: 4.2946 4.2946 4.2946 Å, 60.00 60.00 60.00°
Element x y z (fractional)
Ge (0.2500, 0.2500, 0.2500)
Rh (0.0000, 0.0000, 0.0000)
Cu (0.5000, 0.5000, 0.5000)
Zn (0.7500, 0.7500, 0.7500)